1.
The following is a SCAN calculation of Ir2OsRh at its PBEsol-relaxed geometry, from Alexandria.

Values from the calculation:
**D(E_F)**: 3.36 states/eV/cell
**Energy**: -61.945 eV per atom

Cell: 2.6918 3.8240 5.3877 Å, 90.00 90.00 90.00°
Fractional coordinates of all 4 atoms:
Ir (0.0000, 0.0000, 0.0000)
Ir (0.5000, 0.5000, 0.2557)
Os (0.0000, 0.0000, 0.5009)
Rh (0.5000, 0.5000, 0.7495)

2.
The following is a SCAN calculation of IrOs2Rh at its PBEsol-relaxed geometry, from Alexandria.

Values from the calculation:
**D(E_F)**: 3.20 states/eV/cell
**Energy**: -62.110 eV per atom

Cell: 2.6925 3.8095 5.3983 Å, 90.00 90.00 90.00°
Fractional coordinates of all 4 atoms:
Ir (0.0000, 0.0000, 0.0000)
Os (0.0000, 0.0000, 0.4966)
Os (0.5000, 0.5000, 0.2522)
Rh (0.5000, 0.5000, 0.7472)

3.
The following is a SCAN calculation of IrOsRh2 at its PBEsol-relaxed geometry, from Alexandria.

Values from the calculation:
**D(E_F)**: 9.73 states/eV/cell
**Energy**: -52.260 eV per atom

Cell: 2.6547 4.5960 9.2676 Å, 90.00 90.00 90.00°
Fractional coordinates of all 8 atoms:
Ir (0.0000, 0.0000, 0.0000)
Ir (0.5000, 0.5000, 0.0000)
Os (0.0000, 0.0000, 0.5000)
Os (0.5000, 0.5000, 0.5000)
Rh (0.0000, 0.5000, 0.2511)
Rh (0.0000, 0.5000, 0.7489)
Rh (0.5000, 0.0000, 0.2511)
Rh (0.5000, 0.0000, 0.7489)

4.
The following is a SCAN calculation of IrOsRh2 at its PBEsol-relaxed geometry, from Alexandria.

Values from the calculation:
**D(E_F)**: 8.32 states/eV/cell
**Energy**: -52.604 eV per atom

Cell: 3.7952 3.7952 7.6050 Å, 90.00 90.00 90.00°
Fractional coordinates of all 8 atoms:
Ir (0.0000, 0.0000, 0.0000)
Ir (0.5000, 0.5000, 0.5000)
Os (0.0000, 0.5000, 0.7500)
Os (0.5000, 0.0000, 0.2500)
Rh (0.0000, 0.0000, 0.5000)
Rh (0.0000, 0.5000, 0.2500)
Rh (0.5000, 0.0000, 0.7500)
Rh (0.5000, 0.5000, 0.0000)

5.
The following is a SCAN calculation of IrOs2Rh at its PBEsol-relaxed geometry, from Alexandria.

Values from the calculation:
**D(E_F)**: 2.90 states/eV/cell
**Energy**: -62.115 eV per atom

Cell: 2.6937 2.6937 7.6382 Å, 90.00 90.00 90.00°
Fractional coordinates of all 4 atoms:
Ir (0.0000, 0.0000, 0.0000)
Os (0.0000, 0.0000, 0.4960)
Os (0.5000, 0.5000, 0.2479)
Rh (0.5000, 0.5000, 0.7437)

6.
The following is a SCAN calculation of Ir2OsRh at its PBEsol-relaxed geometry, from Alexandria.

Values from the calculation:
**D(E_F)**: 10.94 states/eV/cell
**Energy**: -61.969 eV per atom

Cell: 2.6984 2.6984 26.4190 Å, 90.00 90.00 120.00°
Fractional coordinates of all 12 atoms:
Ir (0.0000, 0.0000, 0.2492)
Ir (0.0000, 0.0000, 0.7508)
Ir (0.3333, 0.6667, 0.4175)
Ir (0.3333, 0.6667, 0.9158)
Ir (0.6667, 0.3333, 0.0842)
Ir (0.6667, 0.3333, 0.5825)
Os (0.0000, 0.0000, 0.5000)
Os (0.3333, 0.6667, 0.1667)
Os (0.6667, 0.3333, 0.8333)
Rh (0.0000, 0.0000, 0.0000)
Rh (0.3333, 0.6667, 0.6667)
Rh (0.6667, 0.3333, 0.3333)

7.
The following is a SCAN calculation of Ir2OsRh at its PBEsol-relaxed geometry, from Alexandria.

Values from the calculation:
**D(E_F)**: 7.45 states/eV/cell
**Energy**: -61.937 eV per atom

Cell: 3.8056 3.8056 7.6530 Å, 90.00 90.00 90.00°
Fractional coordinates of all 8 atoms:
Ir (0.0000, 0.0000, 0.0000)
Ir (0.0000, 0.5000, 0.2500)
Ir (0.5000, 0.0000, 0.7500)
Ir (0.5000, 0.5000, 0.5000)
Os (0.0000, 0.5000, 0.7500)
Os (0.5000, 0.0000, 0.2500)
Rh (0.0000, 0.0000, 0.5000)
Rh (0.5000, 0.5000, 0.0000)

8.
The following is a SCAN calculation of IrOs2Rh at its PBEsol-relaxed geometry, from Alexandria.

Values from the calculation:
**D(E_F)**: 5.55 states/eV/cell
**Energy**: -62.084 eV per atom

Cell: 3.7897 3.7897 7.7015 Å, 90.00 90.00 90.00°
Fractional coordinates of all 8 atoms:
Ir (0.0000, 0.0000, 0.0000)
Ir (0.5000, 0.5000, 0.5000)
Os (0.0000, 0.5000, 0.2500)
Os (0.0000, 0.5000, 0.7500)
Os (0.5000, 0.0000, 0.2500)
Os (0.5000, 0.0000, 0.7500)
Rh (0.0000, 0.0000, 0.5000)
Rh (0.5000, 0.5000, 0.0000)

9.
The following is a SCAN calculation of Ir2OsRh at its PBEsol-relaxed geometry, from Alexandria.

Values from the calculation:
**D(E_F)**: 7.14 states/eV/cell
**Energy**: -61.957 eV per atom

Cell: 8.9594 2.6906 4.6692 Å, 90.00 99.87 90.00°
Fractional coordinates of all 8 atoms:
Ir (0.2476, 0.0000, 0.2469)
Ir (0.2524, 0.5000, 0.7531)
Ir (0.7476, 0.5000, 0.2469)
Ir (0.7524, 0.0000, 0.7531)
Os (0.0000, 0.5000, 0.0000)
Os (0.5000, 0.0000, 0.0000)
Rh (0.0000, 0.0000, 0.5000)
Rh (0.5000, 0.5000, 0.5000)

10.
The following is a SCAN calculation of Ir2OsRh at its PBEsol-relaxed geometry, from Alexandria.

Values from the calculation:
**D(E_F)**: 3.55 states/eV/cell
**Energy**: -61.978 eV per atom

Cell: 2.6960 3.8118 5.3949 Å, 90.00 90.00 90.00°
Fractional coordinates of all 4 atoms:
Ir (0.0000, 0.0000, 0.2477)
Ir (0.0000, 0.0000, 0.7523)
Os (0.5000, 0.5000, 0.0000)
Rh (0.5000, 0.5000, 0.5000)

11.
The following is a SCAN calculation of IrOsRh2 at its PBEsol-relaxed geometry, from Alexandria.

Values from the calculation:
**D(E_F)**: 7.80 states/eV/cell
**Energy**: -52.618 eV per atom

Cell: 8.9290 2.6794 4.6526 Å, 90.00 99.83 90.00°
Fractional coordinates of all 8 atoms:
Ir (0.0000, 0.0000, 0.0000)
Ir (0.5000, 0.5000, 0.0000)
Os (0.2470, 0.5000, 0.2415)
Os (0.7470, 0.0000, 0.2415)
Rh (0.2491, 0.0000, 0.7433)
Rh (0.4959, 0.0000, 0.4929)
Rh (0.7491, 0.5000, 0.7433)
Rh (0.9959, 0.5000, 0.4929)

12.
The following is a SCAN calculation of Ir2OsRh at its PBEsol-relaxed geometry, from Alexandria.

Values from the calculation:
**D(E_F)**: 3.65 states/eV/cell
**Energy**: -61.923 eV per atom

Cell: 3.8172 3.8172 3.8035 Å, 90.00 90.00 90.00°
Fractional coordinates of all 4 atoms:
Ir (0.0000, 0.5000, 0.0000)
Ir (0.5000, 0.0000, 0.0000)
Os (0.0000, 0.0000, 0.5000)
Rh (0.5000, 0.5000, 0.5000)

| no. | formation energy (meV/atom) |
| --- | --- |
| 1 | 18 |
| 2 | 47 |
| 3 | 370 |
| 4 | 27 |
| 5 | 43 |
| 6 | -6 |
| 7 | 25 |
| 8 | 74 |
| 9 | 5 |
| 10 | -16 |
| 11 | 12 |
| 12 | 40 |